VASP calculation (GGA+U) on crystalline YbCu2Mo3O12 at its relaxed geometry.

Structure (extended XYZ):
```
36
Lattice="5.1443 0.0000 0.0000 0.0000 11.3861 0.0000 -0.6671 0.0000 8.7225" Properties=species:S:1:pos:R:3 pbc="T T T"
Yb 0.9569 2.8465 0.3722
Yb 3.5203 8.5396 8.3503
Cu 0.9035 0.8967 3.8920
Cu 0.9035 4.7963 3.8920
Cu 3.5738 6.5898 4.8305
Cu 3.5738 10.4894 4.8305
Mo 1.0138 8.5396 3.3407
Mo 1.1220 6.0063 6.9875
Mo 1.1220 11.0729 6.9875
Mo 3.3552 0.3132 1.7350
Mo 3.3552 5.3798 1.7350
Mo 3.4635 2.8465 5.3818
O -0.2926 8.5396 4.5763
O 0.2923 8.5396 1.7265
O 0.0369 0.1042 5.5590
O 0.0369 5.5889 5.5590
O 0.0799 7.0868 7.8952
O 0.0799 9.9924 7.8952
O 1.3853 1.1536 7.9717
O 1.3853 4.5395 7.9717
O 1.8346 1.2780 2.1725
O 1.8346 4.4150 2.1725
O 2.0698 7.0592 3.5999
O 2.0698 10.0200 3.5999
O 2.4074 1.3661 5.1226
O 2.4074 4.3269 5.1226
O 2.6426 6.9711 6.5500
O 2.6426 10.1081 6.5500
O 3.0919 6.8466 0.7508
O 3.0919 10.2325 0.7508
O 4.3974 1.3937 0.8273
O 4.3974 4.2993 0.8273
O 4.4403 5.7972 3.1635
O 4.4403 11.2819 3.1635
O 4.1849 2.8465 6.9961
O 4.7699 2.8465 4.1463
```

***

VASP calculation (GGA+U) on crystalline ZnCu3Mo4O12 at its relaxed geometry.

Structure (extended XYZ):
```
20
Lattice="-3.8297 3.8297 3.8297 3.8297 -3.8297 3.8297 3.8297 3.8297 -3.8297" Properties=species:S:1:pos:R:3 pbc="T T T"
Zn 0.0000 0.0000 0.0000
Cu 3.8297 0.0000 0.0000
Cu 0.0000 3.8297 0.0000
Cu 0.0000 0.0000 3.8297
Mo 1.9148 1.9148 -1.9148
Mo 1.9148 -1.9148 1.9148
Mo -1.9148 1.9148 1.9148
Mo 1.9148 1.9148 1.9148
O 3.8297 2.5235 -1.4921
O 2.3376 0.0000 1.3062
O 5.3218 0.0000 1.3062
O 1.3062 2.3376 0.0000
O 2.5235 -1.4921 3.8297
O 0.0000 1.3062 2.3376
O 3.8297 2.5235 1.4921
O 1.3062 5.3218 0.0000
O 2.5235 1.4921 3.8297
O -1.4921 3.8297 2.5235
O 1.4921 3.8297 2.5235
O 0.0000 1.3062 5.3218
```

***

VASP calculation (GGA+U) on crystalline ZnCuMo2O8 at its relaxed geometry.

Structure (extended XYZ):
```
12
Lattice="-3.1470 3.1470 4.1167 3.1470 -3.1470 4.1167 3.1470 3.1470 -4.1167" Properties=species:S:1:pos:R:3 pbc="T T T"
Zn 0.0000 0.0000 0.0000
Cu 3.1470 0.0000 2.0584
Mo 0.0000 0.0000 4.1167
Mo 0.0000 3.1470 2.0584
O 1.6755 3.1470 -1.0415
O 1.4715 0.0000 3.0753
O 0.0000 1.6771 1.0307
O 3.1470 1.6755 1.0415
O 0.0000 4.6170 1.0307
O 0.0000 1.4715 5.1582
O -1.4699 3.1470 3.0860
O 1.4699 3.1470 3.0860
```

***

no.,total magnetic moment (μB per cell),theoretical density (g/cm3),raw total energy (eV/cell)
1,2.1,5.07,-237.74
2,4.9,6.15,-126.13
3,1.0,4.57,-74.24